The following is a PBE+U calculation of a relaxed structure of PuCrNiO6, from the Alexandria database.

Lattice parameters (Å, degrees): 5.2074 5.2074 8.9468 90.00 90.00 120.00
With the nearest neighbours (Å) after each atom.
Positions (direct):
O: 0.6571 0.9974 0.3688  1 Cr 2.01, 1 Pu 2.03, 1 Ni 2.13
O: 0.9974 0.6571 0.8688  1 Cr 2.01, 1 Pu 2.03, 1 Ni 2.13
O: 0.3429 0.0026 0.6312  1 Cr 2.01, 1 Pu 2.03, 1 Ni 2.13
Pu: 0.6667 0.3333 0.2500  6 O 2.03
O: 0.3429 0.3404 0.8688  1 Cr 2.01, 1 Pu 2.03, 1 Ni 2.13
Cr: 0.6667 0.3333 0.7500  6 O 2.01
O: 0.0026 0.6596 0.3688  1 Cr 2.01, 1 Pu 2.03, 1 Ni 2.13
O: 0.6596 0.6571 0.6312  1 Cr 2.01, 1 Pu 2.03, 1 Ni 2.13
Ni: 0.0000 0.0000 0.5000  6 O 2.13
O: 0.0026 0.3429 0.1312  1 Cr 2.01, 1 Pu 2.03, 1 Ni 2.13
Ni: 0.0000 0.0000 0.0000  6 O 2.13
Cr: 0.3333 0.6667 0.2500  6 O 2.01
O: 0.3404 0.3429 0.3688  1 Cr 2.01, 1 Pu 2.03, 1 Ni 2.13
O: 0.6571 0.6596 0.1312  1 Cr 2.01, 1 Pu 2.03, 1 Ni 2.13
Pu: 0.3333 0.6667 0.7500  6 O 2.03
O: 0.9974 0.3404 0.6312  1 Cr 2.01, 1 Pu 2.03, 1 Ni 2.13
O: 0.6596 0.0026 0.8688  1 Cr 2.01, 1 Pu 2.03, 1 Ni 2.13
O: 0.3404 0.9974 0.1312  1 Cr 2.01, 1 Pu 2.03, 1 Ni 2.13

Computed properties:
The calculated total energy comes out at -141.7 eV per cell. The calculated density is 7.124 g cm⁻³. The space-group type is P-31c.